Here is a relaxed InHg5 crystal from Alexandria via LeMat-Bulk. Energies are from PBE.

Output
Distance to the lowest polymorph of the same formula ... 3 meV per atom
DFT formation energy ... 0.000 eV per atom
DOS(E_F) ... 2.89 states/eV/cell
VASP energy ... -0.0520 Ry per atom
Size of the total moment ... 0.0 Bohr magnetons per cell

Structure (CIF):
```
data_InHg5
_space_group_name_H-M_alt 'A m m 2'
_space_group_IT_number 38
_space_group_name_Hall 'A 2 -2'
_cell_length_a 5.5757
_cell_length_b 3.3846
_cell_length_c 17.2909
_cell_angle_alpha 90.00
_cell_angle_beta 90.00
_cell_angle_gamma 90.00
loop_
_atom_site_label
_atom_site_type_symbol
_atom_site_fract_x
_atom_site_fract_y
_atom_site_fract_z
In1 In 0.0000 0.0000 0.0000
Hg1 Hg 0.0000 0.0000 0.3323
Hg2 Hg 0.0000 0.0000 0.6693
Hg3 Hg 0.5000 0.0000 0.1350
Hg4 Hg 0.5000 0.0000 0.4662
Hg5 Hg 0.5000 0.0000 0.7985
```